Record 1
Entry from Alexandria: a geometry-optimized Zr2VBS structure (PBE).

For the total energy, the calculation gives -6.973 eV/atom. Its crystal system is tetragonal.

The space group is P4/mmm (No. 123) and the conventional cell measures 4.877, 4.877 and 3.848 Å, with angles of 90.00, 90.00 and 90.00 degrees. The inequivalent atoms are Zr at (0.000, 0.500, 0.000), V at (0.000, 0.000, 0.000), B at (0.000, 0.000, 0.500) and S at (0.500, 0.500, 0.500).



Record 2
Entry from Alexandria: a geometry-optimized B3WS structure (PBE).

For the total energy, the calculation gives -5.526 eV/atom. Its crystal system is cubic.

The space group is Pm-3m (No. 221) and the conventional cell measures 4.258, 4.258 and 4.258 Å, with angles of 90.00, 90.00 and 90.00 degrees. The inequivalent atoms are B at (0.000, 0.000, 0.500), W at (0.000, 0.000, 0.000) and S at (0.500, 0.500, 0.500).



Record 3
Entry from Alexandria: a geometry-optimized BW2S structure (PBE).

The calculation puts the relative energy among the computed polymorphs at 0.000 eV/atom. Its crystal system is cubic.

The space group is Fm-3m (No. 225) and the conventional cell measures 5.828, 5.828 and 5.828 Å, with angles of 90.00, 90.00 and 90.00 degrees. The inequivalent atoms are B at (0.000, 0.000, 0.000), W at (0.250, 0.250, 0.250) and S at (0.000, 0.000, 0.500).



Record 4
Entry from Alexandria: a geometry-optimized B2W2S structure (PBE).

The calculation puts the relative energy among the computed polymorphs at 0.000 eV/atom. Its crystal system is tetragonal.

The space group is I4/mmm (No. 139) and the conventional cell measures 2.992, 2.992 and 12.836 Å, with angles of 90.00, 90.00 and 90.00 degrees. The inequivalent atoms are B at (0.000, 0.500, 0.250), W at (0.000, 0.000, 0.115) and S at (0.000, 0.000, 0.500).



Record 5
Entry from Alexandria: a geometry-optimized B2W2S structure (PBE).

The calculation puts the relative energy among the computed polymorphs at 0.040 eV/atom. Its crystal system is tetragonal.

The space group is P4/mbm (No. 127) and the conventional cell measures 6.319, 6.319 and 3.007 Å, with angles of 90.00, 90.00 and 90.00 degrees. The inequivalent atoms are B at (0.103, 0.397, 0.000), W at (0.169, 0.669, 0.500) and S at (0.000, 0.000, 0.500).



Record 6
Entry from Alexandria: a geometry-optimized BW3S structure (PBE).

The calculation puts the relative energy among the computed polymorphs at 0.000 eV/atom. Its crystal system is cubic.

The space group is Pm-3m (No. 221) and the conventional cell measures 4.224, 4.224 and 4.224 Å, with angles of 90.00, 90.00 and 90.00 degrees. The inequivalent atoms are B at (0.000, 0.000, 0.000), W at (0.000, 0.000, 0.500) and S at (0.500, 0.500, 0.500).



Record 7
Entry from Alexandria: a geometry-optimized BW2S structure (PBE).

The calculation puts the relative energy among the computed polymorphs at 0.295 eV/atom. Its crystal system is tetragonal.

The space group is I-42d (No. 122) and the conventional cell measures 5.145, 5.145 and 9.961 Å, with angles of 90.00, 90.00 and 90.00 degrees. The inequivalent atoms are B at (0.000, 0.000, 0.000), W at (0.209, 0.250, 0.125) and S at (0.000, 0.000, 0.500).



Record 8
Entry from Alexandria: a geometry-optimized Y2BS structure (PBE).

The calculation puts the relative energy among the computed polymorphs at 0.000 eV/atom. Its crystal system is tetragonal.

The space group is I-42d (No. 122) and the conventional cell measures 6.856, 6.856 and 7.539 Å, with angles of 90.00, 90.00 and 90.00 degrees. The inequivalent atoms are Y at (0.222, 0.750, 0.125), B at (0.000, 0.000, 0.000) and S at (0.000, 0.000, 0.500).



Record 9
Entry from Alexandria: a geometry-optimized Y4BS2 structure (PBE).

For the total energy, the calculation gives -7.018 eV/atom. Its crystal system is orthorhombic.

The space group is Pbam (No. 55) and the conventional cell measures 6.901, 11.445 and 4.000 Å, with angles of 90.00, 90.00 and 90.00 degrees. The inequivalent atoms are Y at (0.125, 0.202, 0.000), Y at (0.229, 0.951, 0.500), B at (0.000, 0.000, 0.000) and S at (0.091, 0.685, 0.500).



Record 10
Entry from Alexandria: a geometry-optimized Y3BS6 structure (PBE).

For the total energy, the calculation gives -6.709 eV/atom. Its crystal system is orthorhombic.

The space group is Cmc2_1 (No. 36) and the conventional cell measures 10.624, 13.068 and 6.268 Å, with angles of 90.00, 90.00 and 90.00 degrees. The inequivalent atoms are Y at (0.000, 0.101, 0.000), Y at (0.183, 0.398, 0.905), B at (0.000, 0.304, 0.356), S at (0.000, 0.292, 0.667), S at (0.000, 0.445, 0.242), S at (0.148, 0.243, 0.221) and S at (0.162, 0.030, 0.701).



Record 11
Entry from Alexandria: a geometry-optimized Y5BS4 structure (PBE).

For the total energy, the calculation gives -7.281 eV/atom. Its crystal system is tetragonal.

The space group is I4/m (No. 87) and the conventional cell measures 8.748, 8.748 and 5.509 Å, with angles of 90.00, 90.00 and 90.00 degrees. The inequivalent atoms are Y at (0.000, 0.000, 0.000), Y at (0.093, 0.280, 0.500), B at (0.000, 0.000, 0.500) and S at (0.096, 0.303, 0.000).



Record 12
Entry from Alexandria: a geometry-optimized Y2BS structure (PBE).

The calculation puts the relative energy among the computed polymorphs at 0.187 eV/atom. Its crystal system is cubic.

The space group is Fm-3m (No. 225) and the conventional cell measures 6.705, 6.705 and 6.705 Å, with angles of 90.00, 90.00 and 90.00 degrees. The inequivalent atoms are Y at (0.250, 0.250, 0.250), B at (0.000, 0.000, 0.000) and S at (0.000, 0.000, 0.500).



no.,total magnetic moment (μB per formula unit)
1,0.0
2,0.0
3,0.0
4,0.0
5,0.0
6,0.0
7,0.0
8,0.0
9,0.0
10,0.0
11,0.0
12,0.0